Computed, not measured: a geometry-optimized ZrSe2Cl structure at the PBE-GGA level of DFT.

Output
- Relative energy among the computed polymorphs: 0.6473 eV/atom
- Calculated total energy: -4.78 eV/atom
- SG: No. 216
- Uncorrected formation energy: -0.4372 eV per atom

Cell lengths 4.815, 4.815, 4.815 Å; angles 60.00, 60.00, 60.00 degrees
Positions (direct):
1 Se 0.000 0.000 0.000
2 Se 0.250 0.250 0.250
3 Zr 0.750 0.750 0.750
4 Cl 0.500 0.500 0.500